*A*
The following is a DFT calculation (PBE-GGA) of an optimized crystal structure of CaBSe.

extended XYZ file:
```
12
Lattice="-0.071 0.513 3.415 2.694 -3.283 0.549 12.689 10.200 -1.266" Properties=species:S:1:pos:R:3 pbc="T T T"
Se 11.204 6.282 -0.709
B 5.538 4.452 -0.553
Ca 4.218 0.667 -0.012
B 13.194 8.167 0.796
Se 7.341 5.902 -0.733
B 5.100 4.384 1.195
Ca 0.070 0.056 -0.007
Se 3.477 3.080 1.357
Se 2.308 -0.584 1.882
Ca 9.180 7.665 0.788
B 12.827 7.587 -0.871
Ca 7.726 3.771 1.342
```

* theoretical density: 3.571 g cm⁻³


*B*
The following is a DFT calculation (PBE-GGA) of an optimized crystal structure of CaBSe.

extended XYZ file:
```
12
Lattice="-4.447 -2.318 2.040 2.330 -0.171 4.885 -3.217 7.763 1.807" Properties=species:S:1:pos:R:3 pbc="T T T"
Ca 1.165 -0.086 2.442
B -1.334 -0.580 3.617
Ca -3.832 2.722 1.924
B -4.001 5.853 5.115
Se -0.603 1.456 0.339
Se -3.271 4.093 4.705
Ca -0.444 3.796 3.346
Ca -2.224 -1.159 1.020
B -1.333 3.217 0.749
B -1.884 4.546 1.058
Se -2.064 1.181 4.027
Se -2.614 6.307 1.468
```

* theoretical density: 3.423 g cm⁻³


*A* has the most favorable energy; the next structure is 26 meV/atom above.


*A*
The following is a DFT calculation (PBE-GGA) of an optimized crystal structure of CaSi3B.

extended XYZ file:
```
5
Lattice="4.377 0.000 0.000 0.000 4.377 0.000 0.000 0.000 4.377" Properties=species:S:1:pos:R:3 pbc="T T T"
Si 2.189 0.000 0.000
Ca 2.189 2.189 2.189
Si 0.000 2.189 0.000
Si 0.000 0.000 2.189
B 0.000 0.000 0.000
```

* theoretical density: 2.675 g cm⁻³


*B*
The following is a DFT calculation (PBE-GGA) of an optimized crystal structure of CaSi3B.

extended XYZ file:
```
5
Lattice="5.291 0.000 0.000 0.000 5.291 0.000 0.000 0.000 5.291" Properties=species:S:1:pos:R:3 pbc="T T T"
Si 0.000 2.646 0.000
B 2.646 2.646 2.646
Ca 0.000 0.000 0.000
Si 2.646 0.000 0.000
Si 0.000 0.000 2.646
```

* theoretical density: 1.515 g cm⁻³


*A* has the most favorable energy; the next structure is 1888 meV/atom above.


*A*
The following is a DFT calculation (PBE-GGA) of an optimized crystal structure of CaSiB.

extended XYZ file:
```
12
Lattice="-1.475 3.176 -5.820 5.566 -2.690 -2.879 -5.136 -2.131 0.139" Properties=species:S:1:pos:R:3 pbc="T T T"
Ca -2.180 -0.543 -3.707
Ca 1.341 -3.476 -2.237
Ca -0.910 -1.345 -0.503
Si 0.247 0.766 -2.494
Si 3.843 -0.280 -6.205
B -0.102 1.664 -4.262
B 1.689 -0.434 -1.897
B 2.401 0.920 -6.802
B 4.193 -1.178 -4.437
Si 0.738 1.760 -6.039
Ca 1.135 -1.102 -4.853
Si 3.353 -1.275 -2.660
```

* theoretical density: 2.577 g cm⁻³


*B*
The following is a DFT calculation (PBE-GGA) of an optimized crystal structure of CaSiB.

extended XYZ file:
```
3
Lattice="4.377 0.000 0.000 0.000 3.553 0.000 0.000 -1.777 3.077" Properties=species:S:1:pos:R:3 pbc="T T T"
Si 0.729 0.000 0.000
B 0.731 1.777 1.026
Ca 2.917 0.000 2.052
```

* theoretical density: 2.740 g cm⁻³


*B* has the most favorable energy; the next structure is 167 meV/atom above.


*A*
The following is a DFT calculation (PBE-GGA) of an optimized crystal structure of CaSiB3.

extended XYZ file:
```
5
Lattice="-0.087 4.039 -0.370 -1.093 -0.379 -3.889 -3.906 0.016 1.096" Properties=species:S:1:pos:R:3 pbc="T T T"
B -1.953 0.008 0.548
Ca -2.543 1.838 -1.581
B -0.044 2.020 -0.185
Si 0.000 0.000 0.000
B -0.546 -0.190 -1.944
```

* theoretical density: 2.502 g cm⁻³


*B*
The following is a DFT calculation (PBE-GGA) of an optimized crystal structure of CaSiB3.

extended XYZ file:
```
5
Lattice="4.693 0.000 0.000 0.000 4.693 0.000 0.000 0.000 4.693" Properties=species:S:1:pos:R:3 pbc="T T T"
Si 2.347 2.347 2.347
B 2.347 0.000 0.000
B 0.000 2.347 0.000
Ca 0.000 0.000 0.000
B 0.000 0.000 2.347
```

* theoretical density: 1.616 g cm⁻³


*A* has the most favorable energy; the next structure is 1883 meV/atom above.